Computed, not measured: an optimized crystal structure of ErMg2Pd5 at the PBE-GGA level of DFT.

Values from the calculation:
M_tot, Bohr magnetons per cell: 0.0
Density, kg/m3: 9298
Final energy, eV/atom: -5.010
Energy of formation, eV/atom: -0.80

The structure in CIF format:
```
data_ErMg2Pd5
_cell_length_a 4.208
_cell_length_b 4.208
_cell_length_c 15.088
_cell_angle_alpha 90.00
_cell_angle_beta 90.00
_cell_angle_gamma 90.00
_space_group_name_H-M_alt 'I 4/m m m'
_space_group_IT_number 139
_space_group_name_Hall '-I 4 2'
loop_
_atom_site_label
_atom_site_type_symbol
_atom_site_fract_x
_atom_site_fract_y
_atom_site_fract_z
Er1 Er 0.000 0.000 0.000
Mg1 Mg 0.000 0.000 0.252
Pd1 Pd 0.000 0.000 0.500
Pd2 Pd 0.000 0.500 0.134
```

=====

Computed, not measured: an optimized crystal structure of ErMgPd2 at the PBE-GGA level of DFT.

Values from the calculation:
M_tot, Bohr magnetons per cell: 0.0
Density, kg/m3: 8943
Final energy, eV/atom: -4.933
Energy of formation, eV/atom: -0.80

The structure in CIF format:
```
data_ErMgPd2
_cell_length_a 4.759
_cell_length_b 4.759
_cell_length_c 3.315
_cell_angle_alpha 90.00
_cell_angle_beta 90.00
_cell_angle_gamma 90.00
_space_group_name_H-M_alt 'P 4/m m m'
_space_group_IT_number 123
_space_group_name_Hall '-P 4 2'
loop_
_atom_site_label
_atom_site_type_symbol
_atom_site_fract_x
_atom_site_fract_y
_atom_site_fract_z
Er1 Er 0.000 0.000 0.000
Mg1 Mg 0.500 0.500 0.000
Pd1 Pd 0.000 0.500 0.500
```

=====

Computed, not measured: an optimized crystal structure of ErMg8Pd2 at the PBE-GGA level of DFT.

Values from the calculation:
M_tot, Bohr magnetons per cell: 0.0
Density, kg/m3: 3836
Final energy, eV/atom: -2.732
Energy of formation, eV/atom: -0.21

The structure in CIF format:
```
data_ErMg8Pd2
_cell_length_a 8.080
_cell_length_b 12.165
_cell_length_c 5.250
_cell_angle_alpha 90.00
_cell_angle_beta 105.43
_cell_angle_gamma 90.00
_space_group_name_H-M_alt 'C 1 2/m 1'
_space_group_IT_number 12
_space_group_name_Hall '-C 2y'
loop_
_atom_site_label
_atom_site_type_symbol
_atom_site_fract_x
_atom_site_fract_y
_atom_site_fract_z
Er1 Er 0.000 0.000 0.000
Mg1 Mg 0.000 0.265 0.000
Mg2 Mg 0.088 0.500 0.782
Mg3 Mg 0.199 0.126 0.579
Pd1 Pd 0.000 0.307 0.500
```

=====

Computed, not measured: an optimized crystal structure of Er12MgPd6 at the PBE-GGA level of DFT.

Values from the calculation:
M_tot, Bohr magnetons per cell: 0.0
Density, kg/m3: 9131
Final energy, eV/atom: -5.169
Energy of formation, eV/atom: -0.56

The structure in CIF format:
```
data_Er12MgPd6
_cell_length_a 9.903
_cell_length_b 9.903
_cell_length_c 9.903
_cell_angle_alpha 90.00
_cell_angle_beta 90.00
_cell_angle_gamma 90.00
_space_group_name_H-M_alt 'I m -3'
_space_group_IT_number 204
_space_group_name_Hall '-I 2 2 3'
loop_
_atom_site_label
_atom_site_type_symbol
_atom_site_fract_x
_atom_site_fract_y
_atom_site_fract_z
Er1 Er 0.000 0.183 0.297
Mg1 Mg 0.000 0.000 0.000
Pd1 Pd 0.000 0.363 0.500
```

=====

Computed, not measured: an optimized crystal structure of ErMg2Pd4 at the PBE-GGA level of DFT.

Values from the calculation:
M_tot, Bohr magnetons per cell: 0.0
Density, kg/m3: 8079
Final energy, eV/atom: -4.655
Energy of formation, eV/atom: -0.58

The structure in CIF format:
```
data_ErMg2Pd4
_cell_length_a 6.690
_cell_length_b 6.690
_cell_length_c 5.892
_cell_angle_alpha 90.00
_cell_angle_beta 90.00
_cell_angle_gamma 90.00
_space_group_name_H-M_alt 'I 4/m m m'
_space_group_IT_number 139
_space_group_name_Hall '-I 4 2'
loop_
_atom_site_label
_atom_site_type_symbol
_atom_site_fract_x
_atom_site_fract_y
_atom_site_fract_z
Er1 Er 0.000 0.000 0.000
Mg1 Mg 0.000 0.500 0.000
Pd1 Pd 0.250 0.250 0.250
```

=====

Computed, not measured: an optimized crystal structure of Er3MgPd3 at the PBE-GGA level of DFT.

Values from the calculation:
M_tot, Bohr magnetons per cell: 0.0
Density, kg/m3: 8908
Final energy, eV/atom: -5.081
Energy of formation, eV/atom: -0.67

The structure in CIF format:
```
data_Er3MgPd3
_cell_length_a 8.821
_cell_length_b 10.280
_cell_length_c 6.959
_cell_angle_alpha 90.00
_cell_angle_beta 92.81
_cell_angle_gamma 90.00
_space_group_name_H-M_alt 'C 1 2/m 1'
_space_group_IT_number 12
_space_group_name_Hall '-C 2y'
loop_
_atom_site_label
_atom_site_type_symbol
_atom_site_fract_x
_atom_site_fract_y
_atom_site_fract_z
Er1 Er 0.000 0.172 0.000
Er2 Er 0.000 0.255 0.500
Er3 Er 0.152 0.500 0.864
Mg1 Mg 0.237 0.500 0.369
Pd1 Pd 0.065 0.000 0.314
Pd2 Pd 0.241 0.263 0.220
```

=====

Computed, not measured: an optimized crystal structure of ErMgPd2 at the PBE-GGA level of DFT.

Values from the calculation:
M_tot, Bohr magnetons per cell: 0.0
Density, kg/m3: 8881
Final energy, eV/atom: -4.972
Energy of formation, eV/atom: -0.84

The structure in CIF format:
```
data_ErMgPd2
_cell_length_a 4.749
_cell_length_b 4.749
_cell_length_c 6.706
_cell_angle_alpha 90.00
_cell_angle_beta 90.00
_cell_angle_gamma 90.00
_space_group_name_H-M_alt 'I 4/m m m'
_space_group_IT_number 139
_space_group_name_Hall '-I 4 2'
loop_
_atom_site_label
_atom_site_type_symbol
_atom_site_fract_x
_atom_site_fract_y
_atom_site_fract_z
Er1 Er 0.000 0.000 0.000
Mg1 Mg 0.000 0.000 0.500
Pd1 Pd 0.000 0.500 0.250
```

=====

Computed, not measured: an optimized crystal structure of ErMg2Pd2 at the PBE-GGA level of DFT.

Values from the calculation:
M_tot, Bohr magnetons per cell: 0.0
Density, kg/m3: 7206
Excess energy over the best structure of this formula in the dataset, meV per atom: 0
Final energy, eV/atom: -4.275
Energy of formation, eV/atom: -0.65

The structure in CIF format:
```
data_ErMg2Pd2
_cell_length_a 5.084
_cell_length_b 4.761
_cell_length_c 8.329
_cell_angle_alpha 90.00
_cell_angle_beta 101.46
_cell_angle_gamma 90.00
_space_group_name_H-M_alt 'P 1 21/m 1'
_space_group_IT_number 11
_space_group_name_Hall '-P 2yb'
loop_
_atom_site_label
_atom_site_type_symbol
_atom_site_fract_x
_atom_site_fract_y
_atom_site_fract_z
Er1 Er 0.183 0.250 0.284
Mg1 Mg 0.317 0.250 0.668
Mg2 Mg 0.359 0.750 0.962
Pd1 Pd 0.091 0.250 0.923
Pd2 Pd 0.243 0.750 0.501
```

=====

Among the records above, which one has the highest final energy?
ErMg8Pd2

=====

Which value of M_tot does entry 8 give?
0.0 Bohr magnetons per cell

=====

Number 8 is which compound?
ErMg2Pd2

=====

Look up the density of the second one.
8943 kg/m3